DFT (PBE) results for an optimized crystal structure of TiCdSN2.

abc: 3.8594 3.8594 5.3359
angles: 90.00 90.00 90.00
Last column: nearest neighbours and their distance in Å.
Positions (direct):
Ti 0.0000 0.0000 0.0000  4 N 1.93
Cd 0.5000 0.5000 0.5000  4 S 2.73
S 0.0000 0.0000 0.5000  2 Ti 2.67, 4 Cd 2.73
N 0.0000 0.5000 0.0000  2 Ti 1.93
N 0.5000 0.0000 0.0000  2 Ti 1.93

Summary:
Space group: No. 123
Formation energy (no corrections) (eV/atom): 0.1033
Energy above the most stable polymorph in this dataset (eV per formula unit): 0.000



DFT (PBE) results for an optimized crystal structure of TiCdSN2.

abc: 4.0917 4.0917 5.1806
angles: 90.00 90.00 90.00
Last column: nearest neighbours and their distance in Å.
Positions (direct):
Ti 0.0000 0.0000 0.0000  4 S 2.89
Cd 0.5000 0.5000 0.5000  4 N 2.05
S 0.5000 0.5000 0.0000  2 Cd 2.59, 4 Ti 2.89
N 0.0000 0.5000 0.5000  2 Cd 2.05
N 0.5000 0.0000 0.5000  2 Cd 2.05

Summary:
Space group: No. 123
Formation energy (no corrections) (eV/atom): 1.4897
Energy above the most stable polymorph in this dataset (eV per formula unit): 6.932



DFT (PBE) results for an optimized crystal structure of TlCdSN2.

abc: 4.2944 4.2944 5.7515
angles: 90.00 90.00 90.00
Last column: nearest neighbours and their distance in Å.
Positions (direct):
Tl 0.0000 0.0000 0.0000  4 N 2.15
Cd 0.5000 0.5000 0.5000  4 S 3.04
S 0.0000 0.0000 0.5000  2 Tl 2.88, 4 Cd 3.04
N 0.0000 0.5000 0.0000  2 Tl 2.15
N 0.5000 0.0000 0.0000  2 Tl 2.15

Summary:
Space group: No. 123
Formation energy (no corrections) (eV/atom): 1.6266
Energy above the most stable polymorph in this dataset (eV per formula unit): 0.751



DFT (PBE) results for an optimized crystal structure of TlCdSN2.

abc: 4.4125 4.4125 5.4418
angles: 90.00 90.00 90.00
Last column: nearest neighbours and their distance in Å.
Positions (direct):
Tl 0.0000 0.0000 0.0000  4 S 3.12
Cd 0.5000 0.5000 0.5000  4 N 2.21
S 0.5000 0.5000 0.0000  2 Cd 2.72
N 0.0000 0.5000 0.5000  2 Cd 2.21
N 0.5000 0.0000 0.5000  2 Cd 2.21

Summary:
Space group: No. 123
Formation energy (no corrections) (eV/atom): 1.4764
Energy above the most stable polymorph in this dataset (eV per formula unit): 0.000



DFT (PBE) results for an optimized crystal structure of CdWS2N.

abc: 5.0655 5.0655 3.9775
angles: 90.00 90.00 90.00
Last column: nearest neighbours and their distance in Å.
Positions (direct):
Cd 0.0000 0.0000 0.0000  2 N 1.99
W 0.5000 0.5000 0.5000  8 S 3.22, 4 N 3.58
S 0.0000 0.5000 0.0000  2 Cd 2.53
S 0.5000 0.0000 0.0000  2 Cd 2.53
N 0.0000 0.0000 0.5000  2 Cd 1.99

Summary:
Space group: No. 123
Formation energy (no corrections) (eV/atom): 1.9118
Energy above the most stable polymorph in this dataset (eV per formula unit): 9.485



DFT (PBE) results for an optimized crystal structure of CdWSN2.

abc: 4.1139 4.1139 5.0763
angles: 90.00 90.00 90.00
Last column: nearest neighbours and their distance in Å.
Positions (direct):
Cd 0.0000 0.0000 0.0000  4 N 2.06
W 0.5000 0.5000 0.5000  4 S 2.91
S 0.0000 0.0000 0.5000  2 Cd 2.54
N 0.0000 0.5000 0.0000  2 Cd 2.06
N 0.5000 0.0000 0.0000  2 Cd 2.06

Summary:
Space group: No. 123
Formation energy (no corrections) (eV/atom): 2.3253
Energy above the most stable polymorph in this dataset (eV per formula unit): 10.746



DFT (PBE) results for an optimized crystal structure of CdWSN2.

abc: 3.9151 3.9151 5.1025
angles: 90.00 90.00 90.00
Last column: nearest neighbours and their distance in Å.
Positions (direct):
Cd 0.0000 0.0000 0.0000  4 S 2.77
W 0.5000 0.5000 0.5000  4 N 1.96
S 0.5000 0.5000 0.0000  2 W 2.55, 4 Cd 2.77
N 0.0000 0.5000 0.5000  2 W 1.96
N 0.5000 0.0000 0.5000  2 W 1.96

Summary:
Space group: No. 123
Formation energy (no corrections) (eV/atom): 0.1761
Energy above the most stable polymorph in this dataset (eV per formula unit): 0.000



DFT (PBE) results for an optimized crystal structure of CdWS2N.

abc: 4.8615 4.8615 3.8323
angles: 90.00 90.00 90.00
Last column: nearest neighbours and their distance in Å.
Positions (direct):
Cd 0.0000 0.0000 0.0000  8 S 3.10, 4 N 3.44
W 0.5000 0.5000 0.5000  2 N 1.92
S 0.0000 0.5000 0.5000  2 W 2.43
S 0.5000 0.0000 0.5000  2 W 2.43
N 0.5000 0.5000 0.0000  2 W 1.92

Summary:
Space group: No. 123
Formation energy (no corrections) (eV/atom): 0.0149
Energy above the most stable polymorph in this dataset (eV per formula unit): 0.000



DFT (PBE) results for an optimized crystal structure of ZnCd2SN.

abc: 5.2694 5.2694 3.5436
angles: 90.00 90.00 90.00
Last column: nearest neighbours and their distance in Å.
Positions (direct):
Zn 0.0000 0.0000 0.0000  2 N 1.77
Cd 0.0000 0.5000 0.0000  2 Zn 2.63
Cd 0.5000 0.0000 0.0000  2 Zn 2.63
S 0.5000 0.5000 0.5000  8 Cd 3.18, 2 S 3.54
N 0.0000 0.0000 0.5000  2 Zn 1.77

Summary:
Space group: No. 123
Formation energy (no corrections) (eV/atom): 0.6459



DFT (PBE) results for an optimized crystal structure of CdSbN2.

abc: 3.4039 4.5279 9.0486
angles: 103.83 91.35 90.66
Last column: nearest neighbours and their distance in Å.
Positions (direct):
Cd 0.0000 0.0000 0.0000  4 Sb 2.95-2.98
Sb 0.5068 0.5468 0.0981  4 Cd 2.95-2.98
N 0.9665 0.4877 0.5237  1 N 1.11
N 0.9698 0.6963 0.6186  1 N 1.11

Summary:
Space group: No. 1
Formation energy (no corrections) (eV/atom): 0.1972
Energy above the most stable polymorph in this dataset (eV per formula unit): 0.000



DFT (PBE) results for an optimized crystal structure of Cd2Sb4N3.

abc: 6.0227 6.0227 10.7477
angles: 92.37 92.37 105.25
Last column: nearest neighbours and their distance in Å.
Positions (direct):
Cd 0.0807 0.7781 0.5714  2 N 2.33-2.38
Cd 0.2219 0.9193 0.9286  2 N 2.33-2.38
Cd 0.7781 0.0807 0.0714  2 N 2.33-2.38
Cd 0.9193 0.2219 0.4286  2 N 2.33-2.38
Sb 0.1501 0.3413 0.7513  2 N 2.10-2.13
Sb 0.2852 0.5376 0.0816  2 N 2.18-2.19
Sb 0.3413 0.1501 0.2513  2 N 2.10-2.13
Sb 0.4624 0.7148 0.4184  2 N 2.18-2.19
Sb 0.5376 0.2852 0.5816  2 N 2.18-2.19
Sb 0.6587 0.8499 0.7487  2 N 2.10-2.13
Sb 0.7148 0.4624 0.9184  2 N 2.18-2.19
Sb 0.8499 0.6587 0.2487  2 N 2.10-2.13
N 0.0177 0.9823 0.7500  2 Sb 2.10, 2 Cd 2.33
N 0.3283 0.3402 0.4209  3 Sb 2.13-2.19
N 0.3402 0.3283 0.9209  3 Sb 2.13-2.19
N 0.6598 0.6717 0.0791  3 Sb 2.13-2.19
N 0.6717 0.6598 0.5791  3 Sb 2.13-2.19
N 0.9823 0.0177 0.2500  2 Sb 2.10, 2 Cd 2.33

Summary:
Space group: No. 15
Formation energy (no corrections) (eV/atom): 0.3840



DFT (PBE) results for an optimized crystal structure of CdSbN2.

abc: 4.2641 4.2641 4.2641
angles: 60.00 60.00 60.00
Last column: nearest neighbours and their distance in Å.
Positions (direct):
Cd 0.0000 0.0000 0.0000  8 N 2.61
Sb 0.5000 0.5000 0.5000  8 N 2.61
N 0.2500 0.2500 0.2500  4 Sb 2.61, 4 Cd 2.61
N 0.7500 0.7500 0.7500  4 Cd 2.61, 4 Sb 2.61

Summary:
Space group: No. 225
Formation energy (no corrections) (eV/atom): 1.3929
Energy above the most stable polymorph in this dataset (eV per formula unit): 4.783